First-principles (PBE) data for a relaxed structure of Sr2CoSi, as listed in Alexandria via LeMat-Bulk.

Results
Size of the total moment ... 1.4 μB/f.u.
Formation energy (no corrections) ... 0.4976 eV/atom
Space-group type ... R-3m, No. 166

Cell lengths 9.0077, 9.0077, 9.0077 Å; angles 25.38, 25.38, 25.38 degrees
Site moments in Bohr magnetons follow the coordinates.
Positions (direct):
Co1 0.2500 0.2500 0.2500  1.63
Sr1 0.5030 0.5030 0.5030  -0.05
Si1 0.7500 0.7500 0.7500  0.04
Sr2 0.9970 0.9970 0.9970  -0.05



First-principles (PBE) data for a relaxed structure of Sr2Co2Si, as listed in Alexandria via LeMat-Bulk.

Results
Size of the total moment ... 0.8 μB/f.u.
Formation energy (no corrections) ... 0.3154 eV/atom
Space-group type ... I4/mmm, No. 139

Cell lengths 5.3708, 5.3708, 5.3708 Å; angles 114.10, 114.10, 100.57 degrees
Site moments in Bohr magnetons follow the coordinates.
Positions (direct):
Co1 0.6769 0.6769 0.0000  0.48
Co2 0.3231 0.3231 0.0000  0.48
Sr1 0.7500 0.2500 0.5000  -0.02
Si1 0.0000 0.0000 0.0000  -0.02
Sr2 0.2500 0.7500 0.5000  -0.02



First-principles (PBE) data for a relaxed structure of Sr2CoSi, as listed in Alexandria via LeMat-Bulk.

Results
Size of the total moment ... 0.0 μB/f.u.
Formation energy (no corrections) ... -0.0675 eV/atom
Space-group type ... Imm2, No. 44

Cell lengths 6.2590, 6.2590, 6.2590 Å; angles 143.25, 132.97, 61.13 degrees
Positions (direct):
Sr1 0.2598 0.7598 0.5000
Si1 0.6787 0.1787 0.5000
Co1 0.5866 0.5866 0.0000
Sr2 0.9749 0.9749 0.0000



First-principles (PBE) data for a relaxed structure of SrCoSi3, as listed in Alexandria via LeMat-Bulk.

Results
Size of the total moment ... 0.0 μB/f.u.
Formation energy (no corrections) ... 0.0536 eV/atom
Space-group type ... Pm-3m, No. 221

Cell lengths 4.5523, 4.5523, 4.5523 Å; angles 90.00, 90.00, 90.00 degrees
Positions (direct):
Si1 0.0000 0.5000 0.0000
Si2 0.5000 0.0000 0.0000
Si3 0.0000 0.0000 0.5000
Sr1 0.5000 0.5000 0.5000
Co1 0.0000 0.0000 0.0000